w.
Density functional theory data (PBE) for Ta2TiFe2 after structural relaxation.

```
Ta2TiFe2
1.0
7.3053 0.0000 0.0000
0.0000 7.3053 0.0000
0.0000 0.0000 2.8499
Fe Ta Ti
4 4 2
Direct
0.1459 0.6459 0.5000
0.6459 0.8541 0.5000
0.8541 0.3541 0.5000
0.3541 0.1459 0.5000
0.3484 0.8484 0.0000
0.8484 0.6516 0.0000
0.6516 0.1516 0.0000
0.1516 0.3484 0.0000
0.5000 0.5000 0.0000
0.0000 0.0000 0.0000
```

Summary:
* SG: P4/mbm, No. 127
* calculated volume: 76.05 Å³/f.u.
* mass density: 11.39 g/cm³

x.
Density functional theory data (PBE) for Ta2TiFe2 after structural relaxation.

```
Ta2TiFe2
1.0
6.9837 0.0000 0.0000
0.0000 6.9837 0.0000
0.0000 0.0000 3.0724
Ti Ta Fe
2 4 4
Direct
0.5000 0.5000 0.0000
0.0000 0.0000 0.0000
0.1663 0.6663 0.5000
0.8337 0.3337 0.5000
0.3337 0.1663 0.5000
0.6663 0.8337 0.5000
0.8678 0.6322 0.0000
0.1322 0.3678 0.0000
0.3678 0.8678 0.0000
0.6322 0.1322 0.0000
```

Summary:
* SG: P4/mbm, No. 127
* calculated volume: 74.92 Å³/f.u.
* mass density: 11.56 g/cm³

The most stable arrangement is x, and the next structure is 0.137 eV/atom less stable.

w.
Density functional theory data (PBE) for TaTi2Fe after structural relaxation.

```
TaTi2Fe
1.0
-2.7031 -0.7567 1.3916
2.2093 -1.1959 3.6410
-0.3483 4.1226 1.5654
Ti Ta Fe
2 1 1
Direct
0.0000 0.5000 0.0000
0.0000 0.0000 0.5000
0.5000 0.5000 0.5000
0.5000 0.0000 0.0000
```

Summary:
* SG: P4/mmm, No. 123
* calculated volume: 61.31 Å³/f.u.
* mass density: 9.01 g/cm³

x.
Density functional theory data (PBE) for TaTi2Fe after structural relaxation.

```
TaTi2Fe
1.0
2.9761 0.0000 0.0000
0.0000 2.9761 0.0000
0.0000 0.0000 6.9093
Ti Ta Fe
2 1 1
Direct
0.0000 0.0000 0.7879
0.0000 0.0000 0.2121
0.5000 0.5000 0.5000
0.5000 0.5000 0.0000
```

Summary:
* SG: P4/mmm, No. 123
* calculated volume: 61.20 Å³/f.u.
* mass density: 9.02 g/cm³

The most stable arrangement is x, and the next structure is 0.172 eV/atom less stable.

w.
Density functional theory data (PBE) for TaTi2Fe after structural relaxation.

```
TaTi2Fe
1.0
6.9909 0.0000 0.0000
0.0000 6.9909 0.0000
3.4955 3.4955 2.6431
Ti Fe Ta
4 2 2
Direct
0.3750 0.4245 0.7500
0.5755 0.1250 0.2500
0.8750 0.8255 0.7500
0.1745 0.6250 0.2500
0.2500 0.7500 0.5000
0.5000 0.5000 0.0000
0.7500 0.2500 0.5000
0.0000 0.0000 0.0000
```

Summary:
* SG: I-42d, No. 122
* calculated volume: 64.59 Å³/f.u.
* mass density: 8.55 g/cm³

x.
Density functional theory data (PBE) for TaTi2Fe after structural relaxation.

```
TaTi2Fe
1.0
-1.2716 -1.3547 3.9981
0.9213 2.4439 3.5518
-3.2352 2.1166 2.1190
Fe Ta Ti
1 1 2
Direct
0.0000 0.0000 0.0000
0.5000 0.5000 0.5000
0.7500 0.7500 0.7500
0.2500 0.2500 0.2500
```

Summary:
* SG: Fm-3m, No. 225
* calculated volume: 60.59 Å³/f.u.
* mass density: 9.11 g/cm³

The most stable arrangement is x, and the next structure is 0.208 eV/atom less stable.